A relaxed structure of Li2MgPb. Source: the Alexandria database, functional GGA-PBE.

Cell and atoms, written as POSCAR:
```
Li2MgPb
1.0
4.684 0.000 0.000
0.000 4.684 0.000
0.000 0.000 3.738
Li Mg Pb
2 1 1
direct
0.000 0.500 0.000 Li
0.500 0.000 0.000 Li
0.000 0.000 0.500 Mg
0.500 0.500 0.500 Pb
```

VASP energy   -10.06 eV/cell
ΔH_f (0 K)   -232 meV/atom
D(E_F)   0.23 states/eV/f.u.